1.
First-principles (PBE) data for a relaxed NaTi2Ni crystal, as listed in Alexandria via LeMat-Bulk.

space group: I-42d
total magnetization: 0.00 μB per cell
formation enthalpy at 0 K: 0.729 eV/atom
DFT total energy: -4.9932 eV per atom

Cell: 3.8368 3.8368 9.8199 Å, 78.73 78.73 90.00°
Element x y z (fractional)
Ti (0.6465, 0.1250, 0.2500)
Ti (0.3750, 0.3535, 0.7500)
Ti (0.8750, 0.8965, 0.7500)
Ti (0.1035, 0.6250, 0.2500)
Ni (0.7500, 0.2500, 0.5000)
Ni (0.0000, 0.0000, 0.0000)
Na (0.2500, 0.7500, 0.5000)
Na (0.5000, 0.5000, 0.0000)

2.
First-principles (PBE) data for a relaxed NaTi2Ni2 crystal, as listed in Alexandria via LeMat-Bulk.

space group: P4/mbm
E above lowest polymorph: 0.025 eV/atom
total magnetization: 0.01 μB per cell
formation enthalpy at 0 K: -0.009 eV/atom
DFT total energy: -5.7435 eV per atom

Cell: 7.5963 7.5963 2.6711 Å, 90.00 90.00 90.00°
Element x y z (fractional)
Na (0.0000, 0.0000, 0.0000)
Ti (0.8539, 0.6461, 0.0000)
Ni (0.1430, 0.6430, 0.5000)
Ti (0.1461, 0.3539, 0.0000)
Ti (0.3539, 0.8539, 0.0000)
Ni (0.3570, 0.1430, 0.5000)
Ni (0.6430, 0.8570, 0.5000)
Ni (0.8570, 0.3570, 0.5000)
Ti (0.6461, 0.1461, 0.0000)
Na (0.5000, 0.5000, 0.0000)